Record 1
## Ac3PdPb2 (PBE)

Data for Ac3PdPb2 after structural relaxation.

Computed properties:
**Volume**: 837.07 Å³ per cell
**Magnetic moment**: 0.1123 μB/atom
**Polymorph energy (0 for the lowest one)**: 0.0 kJ/mol of atoms
**DOS(E_F)**: 4.31 states/eV/f.u.
**Symmetry**: Pnma, No. 62
**Energy of formation**: -633 meV/atom
**Crystal system**: orthorhombic

The structure in extended XYZ format:
```
24
Lattice="13.299 0.000 0.000 0.000 4.854 0.000 0.000 0.000 12.967" Properties=species:S:1:pos:R:3 pbc="T T T"
Ac 0.744 1.213 1.682
Ac 1.583 3.640 7.138
Ac 3.072 1.213 10.390
Ac 3.578 3.640 3.906
Ac 5.067 1.213 0.654
Ac 5.906 3.640 8.166
Ac 7.393 1.213 4.802
Ac 8.232 3.640 12.313
Ac 9.721 1.213 9.061
Ac 10.227 3.640 2.578
Ac 11.716 1.213 5.829
Ac 12.555 3.640 11.285
Pd 1.634 1.213 4.805
Pd 5.016 3.640 11.289
Pd 8.283 1.213 1.678
Pd 11.665 3.640 8.162
Pb 0.089 3.640 3.992
Pb 2.543 3.640 12.952
Pb 4.106 1.213 6.468
Pb 6.561 1.213 10.476
Pb 6.738 3.640 2.491
Pb 9.193 3.640 6.499
Pb 10.756 1.213 0.015
Pb 13.210 1.213 8.975
```

Record 2
## AcPdPb (PBE)

Data for AcPdPb after structural relaxation.

Computed properties:
**Volume**: 172.84 Å³ per cell
**Magnetic moment**: 0.0000 μB/atom
**Polymorph energy (0 for the lowest one)**: 6.2 kJ/mol of atoms
**DOS(E_F)**: 1.20 states/eV/f.u.
**Symmetry**: P2_1/m, No. 11
**Energy of formation**: -632 meV/atom
**Crystal system**: monoclinic

The structure in extended XYZ format:
```
6
Lattice="5.469 0.000 0.000 0.000 4.747 0.000 -1.459 0.000 6.657" Properties=species:S:1:pos:R:3 pbc="T T T"
Ac 0.121 1.187 1.705
Ac 3.889 3.561 4.952
Pd 1.185 3.561 3.547
Pd 2.825 1.187 3.110
Pb 1.036 1.187 5.430
Pb 2.974 3.561 1.227
```

Record 3
## AcPd2Pb3 (PBE)

Data for AcPd2Pb3 after structural relaxation.

Computed properties:
**Volume**: 335.42 Å³ per cell
**Magnetic moment**: 0.0000 μB/atom
**Polymorph energy (0 for the lowest one)**: 4.7 kJ/mol of atoms
**DOS(E_F)**: 3.12 states/eV/f.u.
**Symmetry**: P-3m1, No. 164
**Energy of formation**: -353 meV/atom
**Crystal system**: trigonal

The structure in extended XYZ format:
```
12
Lattice="7.883 0.000 0.000 -3.941 6.827 0.000 0.000 0.000 6.233" Properties=species:S:1:pos:R:3 pbc="T T T"
Ac 0.000 4.551 1.938
Ac 3.941 2.276 4.295
Pd 0.000 0.000 0.000
Pd -1.971 3.413 0.000
Pd 3.941 0.000 0.000
Pd 1.971 3.413 0.000
Pb 0.000 2.216 4.563
Pb -2.022 5.719 4.563
Pb 1.919 1.108 1.670
Pb 2.022 5.719 4.563
Pb 5.963 1.108 1.670
Pb 3.941 4.610 1.670
```

> energy of formation of number 2 (AcPdPb)?

-632 meV/atom